No. 1
TaTi3Tc4 after structural relaxation. Source: Alexandria via LeMat-Bulk, functional PBE.

Lattice parameters (Å, degrees): 3.134 4.426 8.829 90.00 90.00 90.00
Fractional coordinates of all 8 atoms:
Ta: 0.000 0.000 0.000
Ti: 0.000 0.000 0.500
Ti: 0.000 0.500 0.254
Ti: 0.000 0.500 0.746
Tc: 0.500 0.000 0.252
Tc: 0.500 0.000 0.748
Tc: 0.500 0.500 0.000
Tc: 0.500 0.500 0.500

The calculation puts the uncorrected energy at -10.13 eV per atom. The value obtained for the energy of formation is -0.508 eV per atom.

No. 2
Rb3Er2SnO6 after structural relaxation. Source: Alexandria via LeMat-Bulk, functional PBE.

Lattice parameters (Å, degrees): 6.046 6.046 6.852 98.43 98.43 120.01
Fractional coordinates of all 12 atoms:
Rb: 0.000 0.000 0.000
Rb: 0.336 0.664 0.000
Rb: 0.664 0.336 0.000
Er: 0.167 0.833 0.500
Er: 0.833 0.167 0.500
Sn: 0.500 0.500 0.500
O: 0.101 0.441 0.323
O: 0.219 0.219 0.676
O: 0.441 0.101 0.323
O: 0.559 0.899 0.677
O: 0.781 0.781 0.324
O: 0.899 0.559 0.677

The uncorrected formation energy comes out at -2565 kJ/mol of formula units. The calculation puts the uncorrected energy at -6.03 eV per atom.

- Look up the uncorrected energy of the first one.
  -10.13 eV per atom

- uncorrected energy of number 2 (Rb3Er2SnO6)?
  -6.03 eV per atom

- Look up the uncorrected energy of the first one.
  -10.13 eV per atom

- Number 1 is which compound?
  TaTi3Tc4